DFT (PBE-GGA) results for a relaxed structure of MnCuTc2.

Values from the calculation:
polymorph energy (0 for the lowest one)	0.000	eV/atom

Geometry as CIF:
```
data_MnCuTc2
_cell_length_a 3.808
_cell_length_b 3.808
_cell_length_c 7.431
_cell_angle_alpha 90.00
_cell_angle_beta 90.00
_cell_angle_gamma 90.00
_symmetry_space_group_name_H-M 'I -4 m 2'
_symmetry_Int_Tables_number 119
_symmetry_space_group_name_Hall 'I -4 -2'
loop_
_atom_site_label
_atom_site_fract_x
_atom_site_fract_y
_atom_site_fract_z
Mn1 0.000 0.000 0.000
Cu1 0.000 0.500 0.750
Tc1 0.000 0.000 0.500
Tc2 0.000 0.500 0.250
```

=====

DFT (PBE-GGA) results for a relaxed structure of MnCuTc2.

Values from the calculation:
polymorph energy (0 for the lowest one)	0.104	eV/atom

Geometry as CIF:
```
data_MnCuTc2
_cell_length_a 3.105
_cell_length_b 4.213
_cell_length_c 8.385
_cell_angle_alpha 90.00
_cell_angle_beta 90.00
_cell_angle_gamma 90.00
_symmetry_space_group_name_H-M 'C m m 2'
_symmetry_Int_Tables_number 35
loop_
_symmetry_equiv_pos_as_xyz
'x,y,z'
'-x,-y,z'
'-x,y,z'
'x,-y,z'
'x+1/2,y+1/2,z'
'-x+1/2,-y+1/2,z'
'-x+1/2,y+1/2,z'
'x+1/2,-y+1/2,z'
loop_
_atom_site_label
_atom_site_fract_x
_atom_site_fract_y
_atom_site_fract_z
Mn1 0.000 0.000 0.000
Cu1 0.000 0.500 0.240
Tc1 0.000 0.000 0.497
Tc2 0.000 0.500 0.761
```

=====

DFT (PBE-GGA) results for a relaxed structure of MnCuTc2.

Values from the calculation:
polymorph energy (0 for the lowest one)	0.084	eV/atom

Geometry as CIF:
```
data_MnCuTc2
_cell_length_a 2.6653
_cell_length_b 2.6653
_cell_length_c 25.9577
_cell_angle_alpha 90.00
_cell_angle_beta 90.00
_cell_angle_gamma 120.00
_symmetry_space_group_name_H-M 'R 3 m'
_symmetry_Int_Tables_number 160
_symmetry_space_group_name_Hall 'R 3 -2"'
loop_
_atom_site_label
_atom_site_fract_x
_atom_site_fract_y
_atom_site_fract_z
Mn1 0.0000 0.0000 0.0000
Cu1 0.0000 0.0000 0.2528
Tc1 0.0000 0.0000 0.4998
Tc2 0.0000 0.0000 0.7457
```

=====

DFT (PBE-GGA) results for a relaxed structure of MnCu2Tc.

Values from the calculation:
polymorph energy (0 for the lowest one)	0.099	eV/atom

Geometry as CIF:
```
data_MnCu2Tc
_cell_length_a 3.538
_cell_length_b 3.538
_cell_length_c 4.067
_cell_angle_alpha 90.00
_cell_angle_beta 90.00
_cell_angle_gamma 90.00
_symmetry_space_group_name_H-M 'P 4/m m m'
_symmetry_Int_Tables_number 123
_symmetry_space_group_name_Hall '-P 4 2'
loop_
_atom_site_label
_atom_site_fract_x
_atom_site_fract_y
_atom_site_fract_z
Mn1 0.000 0.000 0.000
Cu1 0.000 0.500 0.500
Tc1 0.500 0.500 0.000
```

=====

DFT (PBE-GGA) results for a relaxed structure of Mn2CuTc2.

Values from the calculation:
polymorph energy (0 for the lowest one)	0.000	eV/atom

Geometry as CIF:
```
data_Mn2CuTc2
_cell_length_a 6.979
_cell_length_b 6.979
_cell_length_c 2.715
_cell_angle_alpha 90.00
_cell_angle_beta 90.00
_cell_angle_gamma 90.00
_symmetry_space_group_name_H-M 'P 4/m b m'
_symmetry_Int_Tables_number 127
_symmetry_space_group_name_Hall '-P 4 2ab'
loop_
_atom_site_label
_atom_site_fract_x
_atom_site_fract_y
_atom_site_fract_z
Mn1 0.131 0.369 0.000
Cu1 0.000 0.000 0.000
Tc1 0.166 0.666 0.500
```

=====

DFT (PBE-GGA) results for a relaxed structure of MnCuTc2.

Values from the calculation:
polymorph energy (0 for the lowest one)	0.189	eV/atom

Geometry as CIF:
```
data_MnCuTc2
_cell_length_a 5.932
_cell_length_b 5.932
_cell_length_c 5.932
_cell_angle_alpha 90.00
_cell_angle_beta 90.00
_cell_angle_gamma 90.00
_symmetry_space_group_name_H-M 'F m -3 m'
_symmetry_Int_Tables_number 225
_symmetry_space_group_name_Hall '-F 4 2 3'
loop_
_atom_site_label
_atom_site_fract_x
_atom_site_fract_y
_atom_site_fract_z
Mn1 0.000 0.000 0.000
Cu1 0.000 0.000 0.500
Tc1 0.250 0.250 0.250
```

=====

DFT (PBE-GGA) results for a relaxed structure of MnCuTc4.

Geometry as CIF:
```
data_MnCuTc4
_cell_length_a 7.174
_cell_length_b 7.174
_cell_length_c 7.174
_cell_angle_alpha 90.00
_cell_angle_beta 90.00
_cell_angle_gamma 90.00
_symmetry_space_group_name_H-M 'F -4 3 m'
_symmetry_Int_Tables_number 216
_symmetry_space_group_name_Hall 'F -4 2 3'
loop_
_atom_site_label
_atom_site_fract_x
_atom_site_fract_y
_atom_site_fract_z
Mn1 0.000 0.000 0.000
Cu1 0.250 0.250 0.250
Tc1 0.125 0.125 0.625
```

=====

DFT (PBE-GGA) results for a relaxed structure of MnCu2Tc.

Values from the calculation:
polymorph energy (0 for the lowest one)	0.694	eV/atom

Geometry as CIF:
```
data_MnCu2Tc
_cell_length_a 6.730
_cell_length_b 6.730
_cell_length_c 4.734
_cell_angle_alpha 90.00
_cell_angle_beta 90.00
_cell_angle_gamma 90.00
_symmetry_space_group_name_H-M 'I -4 2 d'
_symmetry_Int_Tables_number 122
_symmetry_space_group_name_Hall 'I -4 2bw'
loop_
_atom_site_label
_atom_site_fract_x
_atom_site_fract_y
_atom_site_fract_z
Mn1 0.000 0.000 0.000
Cu1 0.233 0.250 0.125
Tc1 0.000 0.000 0.500
```

=====

DFT (PBE-GGA) results for a relaxed structure of MnCu2Tc.

Values from the calculation:
polymorph energy (0 for the lowest one)	0.068	eV/atom

Geometry as CIF:
```
data_MnCu2Tc
_cell_length_a 4.468
_cell_length_b 2.614
_cell_length_c 4.658
_cell_angle_alpha 90.00
_cell_angle_beta 108.43
_cell_angle_gamma 90.00
_symmetry_space_group_name_H-M 'P 1 2/m 1'
_symmetry_Int_Tables_number 10
loop_
_symmetry_equiv_pos_as_xyz
'x,y,z'
'-x,-y,-z'
'-x,y,-z'
'x,-y,z'
loop_
_atom_site_label
_atom_site_fract_x
_atom_site_fract_y
_atom_site_fract_z
Mn1 0.000 0.000 0.000
Cu1 0.000 0.500 0.500
Cu2 0.500 0.000 0.500
Tc1 0.500 0.500 0.000
```

=====

DFT (PBE-GGA) results for a relaxed structure of MnCuTc2.

Values from the calculation:
polymorph energy (0 for the lowest one)	0.048	eV/atom

Geometry as CIF:
```
data_MnCuTc2
_cell_length_a 8.848
_cell_length_b 2.675
_cell_length_c 4.627
_cell_angle_alpha 90.00
_cell_angle_beta 99.49
_cell_angle_gamma 90.00
_symmetry_space_group_name_H-M 'C 1 m 1'
_symmetry_Int_Tables_number 8
loop_
_symmetry_equiv_pos_as_xyz
'x,y,z'
'x,-y,z'
'x+1/2,y+1/2,z'
'x+1/2,-y+1/2,z'
loop_
_atom_site_label
_atom_site_fract_x
_atom_site_fract_y
_atom_site_fract_z
Mn1 0.000 0.000 0.000
Cu1 0.248 0.500 0.223
Tc1 0.257 0.000 0.729
Tc2 0.498 0.000 0.487
```

=====

DFT (PBE-GGA) results for a relaxed structure of MnCu2Tc.

Values from the calculation:
polymorph energy (0 for the lowest one)	0.089	eV/atom

Geometry as CIF:
```
data_MnCu2Tc
_cell_length_a 2.584
_cell_length_b 3.965
_cell_length_c 5.026
_cell_angle_alpha 90.00
_cell_angle_beta 90.10
_cell_angle_gamma 90.00
_symmetry_space_group_name_H-M 'P 1 2/m 1'
_symmetry_Int_Tables_number 10
loop_
_symmetry_equiv_pos_as_xyz
'x,y,z'
'-x,-y,-z'
'-x,y,-z'
'x,-y,z'
loop_
_atom_site_label
_atom_site_fract_x
_atom_site_fract_y
_atom_site_fract_z
Mn1 0.000 0.000 0.000
Cu1 0.499 0.500 0.248
Tc1 0.000 0.000 0.500
```

=====

DFT (PBE-GGA) results for a relaxed structure of MnCu2Tc.

Values from the calculation:
polymorph energy (0 for the lowest one)	0.083	eV/atom

Geometry as CIF:
```
data_MnCu2Tc
_cell_length_a 5.108
_cell_length_b 7.907
_cell_length_c 2.565
_cell_angle_alpha 90.00
_cell_angle_beta 90.00
_cell_angle_gamma 90.00
_symmetry_space_group_name_H-M 'C m m m'
_symmetry_Int_Tables_number 65
_symmetry_space_group_name_Hall '-C 2 2'
loop_
_atom_site_label
_atom_site_fract_x
_atom_site_fract_y
_atom_site_fract_z
Mn1 0.000 0.000 0.000
Cu1 0.250 0.250 0.500
Tc1 0.000 0.500 0.000
```

=====

DFT (PBE-GGA) results for a relaxed structure of MnCuTc2.

Values from the calculation:
polymorph energy (0 for the lowest one)	0.016	eV/atom

Geometry as CIF:
```
data_MnCuTc2
_cell_length_a 3.692
_cell_length_b 3.692
_cell_length_c 3.944
_cell_angle_alpha 90.00
_cell_angle_beta 90.00
_cell_angle_gamma 90.00
_symmetry_space_group_name_H-M 'P 4/m m m'
_symmetry_Int_Tables_number 123
_symmetry_space_group_name_Hall '-P 4 2'
loop_
_atom_site_label
_atom_site_fract_x
_atom_site_fract_y
_atom_site_fract_z
Mn1 0.000 0.000 0.000
Cu1 0.500 0.500 0.000
Tc1 0.000 0.500 0.500
```

=====

DFT (PBE-GGA) results for a relaxed structure of MnCuTc2.

Values from the calculation:
polymorph energy (0 for the lowest one)	0.050	eV/atom

Geometry as CIF:
```
data_MnCuTc2
_cell_length_a 2.6599
_cell_length_b 2.6599
_cell_length_c 25.9870
_cell_angle_alpha 90.00
_cell_angle_beta 90.00
_cell_angle_gamma 120.00
_symmetry_space_group_name_H-M 'R -3 m'
_symmetry_Int_Tables_number 166
_symmetry_space_group_name_Hall '-R 3 2"'
loop_
_atom_site_label
_atom_site_fract_x
_atom_site_fract_y
_atom_site_fract_z
Mn1 0.0000 0.0000 0.0000
Cu1 0.0000 0.0000 0.5000
Tc1 0.0000 0.0000 0.2536
```

=====

Number 1: VASP energy -66.9 eV per cell. Number 2: VASP energy -66.0 eV per cell. Number 3: VASP energy -99.3 eV per cell. Number 4: VASP energy -26.7 eV per cell. Number 5: VASP energy -83.9 eV per cell. Number 6: VASP energy -130.7 eV per cell. Number 7: VASP energy -207.2 eV per cell. Number 8: VASP energy -97.3 eV per cell. Number 9: VASP energy -26.8 eV per cell. Number 10: VASP energy -66.5 eV per cell. Number 11: VASP energy -26.7 eV per cell. Number 12: VASP energy -53.5 eV per cell. Number 13: VASP energy -33.4 eV per cell. Number 14: VASP energy -99.7 eV per cell.